A plane-wave DFT calculation with meta-GGA SCAN was carried out for a PBEsol-optimized structure of MnCoPb2.

Geometry as POSCAR:
```
MnCoPb2
1.0
4.7798 0.0000 0.0000
2.3899 4.1395 0.0000
2.3899 1.3798 3.9027
Mn Co Pb
1 1 2
Cartesian
2.3899 1.3798 0.9757
4.7798 2.7596 1.9514
7.1698 4.1395 2.9270
0.0000 0.0000 0.0000
```

Output
**Energy relative to the elements**: 2.46 eV per formula unit
**Relative energy among the computed polymorphs**: 365 meV per atom
**Crystal system**: cubic

A plane-wave DFT calculation with meta-GGA SCAN was carried out for a PBEsol-optimized structure of Al2WSN.

Geometry as POSCAR:
```
Al2WSN
1.0
-1.6850 3.3157 -2.1288
-4.1327 -1.4181 1.0624
0.1176 2.4707 3.7551
Al S N W
2 1 1 1
Cartesian
-2.0664 -0.7090 0.5312
0.0588 1.2354 1.8776
0.0000 0.0000 0.0000
-2.8501 2.1842 1.3443
-0.8425 1.6578 -1.0644
```

Output
**Energy relative to the elements, uncorrected**: 1.87 eV/atom
**Crystal system**: tetragonal

A plane-wave DFT calculation with meta-GGA SCAN was carried out for a PBEsol-optimized structure of AlAs2Pb.

Geometry as POSCAR:
```
AlAs2Pb
1.0
3.7072 0.0299 0.0361
-0.0404 4.8093 0.0813
-0.0404 -0.8159 4.7403
Pb Al As
1 1 2
Cartesian
1.8132 2.0117 2.4288
1.8536 0.0150 0.0181
-0.0202 -0.4079 2.3701
-0.0202 2.4046 0.0407
```

Output
**Energy relative to the elements**: 1.31 eV per formula unit
**Relative energy among the computed polymorphs**: 482 meV per atom
**Crystal system**: orthorhombic

A plane-wave DFT calculation with meta-GGA SCAN was carried out for a PBEsol-optimized structure of Sr2TaTeAs.

Geometry as POSCAR:
```
Sr2TaTeAs
1.0
-3.8206 2.8063 -0.8463
-2.0778 -1.2240 5.3216
2.8862 4.5873 2.1820
Ta Sr Te As
1 2 1 1
Cartesian
-1.9103 1.4032 -0.4231
-1.0389 -0.6120 2.6608
1.4431 2.2937 1.0910
-1.5061 3.0848 3.3286
0.0000 0.0000 0.0000
```

Output
**Energy relative to the elements, uncorrected**: -0.30 eV/atom
**Crystal system**: tetragonal

| no. | total magnetization (μB per formula unit) |
| --- | --- |
| 1 | 6.2 |
| 2 | 0.0 |
| 3 | 0.0 |
| 4 | 2.2 |